# 1
Y2AlGa2 | meta-GGA SCAN | PBEsol geometry

## Properties
- ρ: 5.4 g cm⁻³
- DFT formation energy: -0.739 eV per atom

Unit cell a=6.9308 b=6.9308 c=4.3941 alpha=90.00 beta=90.00 gamma=90.00
Space group P4/mbm (No. 127)
Unique sites:
Y: 0.1733 0.3267 0.0000 x4
Al: 0.0000 0.0000 0.5000 x2
Ga: 0.1293 0.6293 0.5000 x4



# 2
YPb5 | meta-GGA SCAN | PBEsol geometry

## Properties
- ρ: 11.0 g cm⁻³
- DFT formation energy: -0.255 eV per atom

Unit cell a=4.6423 b=4.6735 c=8.1858 alpha=90.00 beta=106.42 gamma=90.00
Space group P2/m (No. 10)
Unique sites:
Y: 0.0000 0.0000 0.0000 x1
Pb: 0.1666 0.5000 0.3341 x2
Pb: 0.3412 0.0000 0.6818 x2
Pb: 0.5000 0.5000 0.0000 x1



# 3
Lu2Ni3B6 | meta-GGA SCAN | PBEsol geometry

## Properties
- ρ: 9.0 g cm⁻³
- DFT formation energy: -0.664 eV per atom

Unit cell a=7.5624 b=8.5117 c=3.3799 alpha=90.00 beta=90.00 gamma=90.00
Space group Cmmm (No. 65)
Unique sites:
Lu: 0.0000 0.2235 0.0000 x4
Ni: 0.0000 0.5000 0.5000 x2
Ni: 0.2271 0.5000 0.0000 x4
B: 0.1124 0.0000 0.5000 x4
B: 0.2322 0.3497 0.5000 x8



# 4
CdReIr3 | meta-GGA SCAN | PBEsol geometry

## Properties
- ρ: 14.3 g cm⁻³
- DFT formation energy: 3.119 eV per atom

Unit cell a=4.6623 b=4.6623 c=4.6623 alpha=90.00 beta=90.00 gamma=90.00
Space group Pm-3m (No. 221)
Unique sites:
Cd: 0.0000 0.0000 0.0000 x1
Re: 0.5000 0.5000 0.5000 x1
Ir: 0.0000 0.0000 0.5000 x3



# 5
BaLiMo2 | meta-GGA SCAN | PBEsol geometry

## Properties
- ρ: 6.0 g cm⁻³
- DFT formation energy: 0.840 eV per atom

Unit cell a=9.6394 b=3.3723 c=5.9151 alpha=90.00 beta=103.29 gamma=90.00
Space group C2/m (No. 12)
Unique sites:
Ba: 0.0000 0.0000 0.0000 x2
Li: 0.0000 0.5000 0.5000 x2
Mo: 0.2166 0.0000 0.6123 x4



# 6
Li3InN | meta-GGA SCAN | PBEsol geometry

## Properties
- Energy: -10.16 eV/atom
- ρ: 3.7 g cm⁻³

Unit cell a=4.0500 b=4.0500 c=4.0500 alpha=90.00 beta=90.00 gamma=90.00
Space group Pm-3m (No. 221)
Unique sites:
Li: 0.0000 0.0000 0.5000 x3
In: 0.5000 0.5000 0.5000 x1
N: 0.0000 0.0000 0.0000 x1



# 7
CdTcOs2 | meta-GGA SCAN | PBEsol geometry

## Properties
- ρ: 16.2 g cm⁻³
- DFT formation energy: 0.474 eV per atom

Unit cell a=2.7439 b=3.8867 c=5.6783 alpha=90.00 beta=90.00 gamma=90.00
Space group Pmm2 (No. 25)
Unique sites:
Cd: 0.0000 0.0000 0.0000 x1
Tc: 0.5000 0.5000 0.7211 x1
Os: 0.0000 0.0000 0.5018 x1
Os: 0.5000 0.5000 0.2749 x1



# 8
BaSc2Co | meta-GGA SCAN | PBEsol geometry

## Properties
- ρ: 5.3 g cm⁻³
- DFT formation energy: 0.670 eV per atom

Unit cell a=4.2531 b=4.2531 c=4.9772 alpha=90.00 beta=90.00 gamma=90.00
Space group P4/mmm (No. 123)
Unique sites:
Ba: 0.0000 0.0000 0.0000 x1
Sc: 0.0000 0.5000 0.5000 x2
Co: 0.5000 0.5000 0.0000 x1



# 9
Ca2Mg2Cu | meta-GGA SCAN | PBEsol geometry

## Properties
- ρ: 2.5 g cm⁻³
- DFT formation energy: -0.032 eV per atom

Unit cell a=3.4831 b=7.1983 c=10.3147 alpha=90.00 beta=90.00 gamma=90.00
Space group Immm (No. 71)
Unique sites:
Ca: 0.0000 0.0000 0.2469 x4
Mg: 0.0000 0.2862 0.0000 x4
Cu: 0.0000 0.5000 0.5000 x2



# 10
CdS2F | meta-GGA SCAN | PBEsol geometry

## Properties
- Energy: -13.48 eV/atom
- ρ: 3.6 g cm⁻³

Unit cell a=4.0014 b=4.0014 c=19.4366 alpha=90.00 beta=90.00 gamma=120.00
Space group R-3m (No. 166, hexagonal axes)
Unique sites:
Cd: 0.0000 0.0000 0.0000 x3
S: 0.0000 0.0000 0.3973 x6
F: 0.0000 0.0000 0.5000 x3



# 11
SrCoGeSb2 | meta-GGA SCAN | PBEsol geometry

## Properties
- Energy: -26.75 eV/atom
- ρ: 6.4 g cm⁻³

Unit cell a=5.1770 b=5.1770 c=4.4646 alpha=90.00 beta=90.00 gamma=90.00
Space group P4/mmm (No. 123)
Unique sites:
Sr: 0.0000 0.0000 0.0000 x1
Co: 0.5000 0.5000 0.5000 x1
Ge: 0.5000 0.5000 0.0000 x1
Sb: 0.0000 0.5000 0.5000 x2



# 12
Ir2RuPt | meta-GGA SCAN | PBEsol geometry

## Properties
- ρ: 20.1 g cm⁻³
- DFT formation energy: 0.007 eV per atom

Unit cell a=2.7021 b=2.7021 c=7.7178 alpha=90.00 beta=90.00 gamma=90.00
Space group P4mm (No. 99)
Unique sites:
Ir: 0.0000 0.0000 0.0000 x1
Ir: 0.5000 0.5000 0.2477 x1
Ru: 0.5000 0.5000 0.7616 x1
Pt: 0.0000 0.0000 0.5084 x1



# 13
ZrIn2Sb | meta-GGA SCAN | PBEsol geometry

## Properties
- Energy: -33.88 eV/atom
- ρ: 8.0 g cm⁻³

Unit cell a=10.6172 b=3.1871 c=5.4875 alpha=90.00 beta=96.48 gamma=90.00
Space group Cm (No. 8)
Unique sites:
Zr: 0.0000 0.0000 0.0000 x2
In: 0.0043 0.5000 0.5014 x2
In: 0.2569 0.0000 0.7197 x2
Sb: 0.2367 0.5000 0.1925 x2



# 14
FeH3S | meta-GGA SCAN | PBEsol geometry

## Properties
- Energy: -6.50 eV/atom
- ρ: 4.0 g cm⁻³

Unit cell a=3.3607 b=3.3607 c=3.3607 alpha=90.00 beta=90.00 gamma=90.00
Space group Pm-3m (No. 221)
Unique sites:
Fe: 0.0000 0.0000 0.0000 x1
H: 0.0000 0.5000 0.5000 x3
S: 0.5000 0.5000 0.5000 x1



# 15
CuIrW3 | meta-GGA SCAN | PBEsol geometry

## Properties
- ρ: 15.9 g cm⁻³
- DFT formation energy: 1.921 eV per atom

Unit cell a=4.3813 b=4.3813 c=4.3813 alpha=90.00 beta=90.00 gamma=90.00
Space group Pm-3m (No. 221)
Unique sites:
Cu: 0.0000 0.0000 0.0000 x1
Ir: 0.5000 0.5000 0.5000 x1
W: 0.0000 0.0000 0.5000 x3



# 16
IrRh3 | meta-GGA SCAN | PBEsol geometry

## Properties
- ρ: 15.3 g cm⁻³
- DFT formation energy: -0.020 eV per atom

Unit cell a=5.3550 b=7.5785 c=2.6818 alpha=90.00 beta=90.00 gamma=90.00
Space group Cmmm (No. 65)
Unique sites:
Ir: 0.0000 0.0000 0.0000 x2
Rh: 0.0000 0.5000 0.0000 x2
Rh: 0.2500 0.2500 0.5000 x4



# 17
NaTmTi2O6 | meta-GGA SCAN | PBEsol geometry

## Properties
- Energy: -15.90 eV/atom
- ρ: 5.9 g cm⁻³

Unit cell a=7.5086 b=5.4675 c=5.2294 alpha=90.00 beta=90.00 gamma=90.00
Space group Pmn2_1 (No. 31)
Unique sites:
Na: 0.0000 0.2150 0.0000 x2
Tm: 0.0000 0.6740 0.4754 x2
Ti: 0.2481 0.2348 0.4838 x4
O: 0.0000 0.2767 0.5730 x2
O: 0.0000 0.7779 0.8834 x2
O: 0.1936 0.9400 0.3076 x4
O: 0.2077 0.4640 0.2131 x4



# 18
FeAgTe2Os | meta-GGA SCAN | PBEsol geometry

## Properties
- Energy: -37.33 eV/atom
- ρ: 7.8 g cm⁻³

Unit cell a=5.1511 b=5.1511 c=4.9123 alpha=90.00 beta=90.00 gamma=90.00
Space group P4/mmm (No. 123)
Unique sites:
Fe: 0.0000 0.0000 0.0000 x1
Ag: 0.5000 0.5000 0.5000 x1
Te: 0.0000 0.5000 0.5000 x2
Os: 0.5000 0.5000 0.0000 x1



# 19
K2BaY | meta-GGA SCAN | PBEsol geometry

## Properties
- ρ: 2.6 g cm⁻³
- DFT formation energy: 0.409 eV per atom

Unit cell a=4.0549 b=6.6677 c=7.2588 alpha=90.00 beta=90.00 gamma=90.00
Space group Pmmm (No. 47)
Unique sites:
K: 0.0000 0.0000 0.0000 x1
K: 0.5000 0.5000 0.0000 x1
Ba: 0.0000 0.5000 0.5000 x1
Y: 0.5000 0.0000 0.5000 x1



# 20
Fe3Re | meta-GGA SCAN | PBEsol geometry

## Properties
- ρ: 13.2 g cm⁻³
- DFT formation energy: 0.168 eV per atom

Unit cell a=3.5634 b=3.5634 c=14.0317 alpha=90.00 beta=90.00 gamma=90.00
Space group I4/mmm (No. 139)
Unique sites:
Fe: 0.0000 0.0000 0.1242 x4
Fe: 0.0000 0.5000 0.0000 x4
Fe: 0.0000 0.5000 0.2500 x4
Re: 0.0000 0.0000 0.3733 x4